No. 1
VASP calculation (GGA+U) on a geometry-optimized Li3VFeP2O8F2 structure.

Cell: 5.228 5.410 7.428 Å, 106.96 107.44 97.21°
Atoms (fractional coordinates):
Li1 0.752 0.414 0.857
Li2 0.494 0.025 0.508
Li3 0.261 0.597 0.153
V1 0.000 0.001 0.000
Fe1 0.994 0.997 0.499
P1 0.663 0.360 0.241
P2 0.336 0.639 0.758
O1 0.869 0.333 0.122
O2 0.722 0.215 0.392
O3 0.669 0.656 0.338
O4 0.364 0.245 0.080
O5 0.636 0.755 0.918
O6 0.329 0.342 0.659
O7 0.274 0.786 0.608
O8 0.132 0.667 0.879
F1 0.846 0.088 0.743
F2 0.150 0.917 0.258

Properties
spin magnetization = 6.0 μB per cell
space-group type = P1, No. 1
final energy = -6.64 eV/atom

***

No. 2
VASP calculation (GGA+U) on a geometry-optimized LiVFeP2O8F2 structure.

Cell: 5.155 5.350 7.379 Å, 109.58 105.96 97.01°
Atoms (fractional coordinates):
Li1 0.925 0.565 0.172
V1 0.998 0.998 0.995
Fe1 0.507 0.500 0.505
P1 0.432 0.119 0.757
P2 0.563 0.884 0.243
O1 0.259 0.129 0.906
O2 0.358 0.827 0.600
O3 0.361 0.328 0.666
O4 0.244 0.797 0.125
O5 0.742 0.211 0.902
O6 0.652 0.674 0.334
O7 0.652 0.180 0.394
O8 0.727 0.853 0.088
F1 0.139 0.324 0.257
F2 0.859 0.683 0.743

Properties
spin magnetization = 6.0 μB per cell
excess energy over the best structure of this formula in the dataset = 0.0 meV/atom
space-group type = P1, No. 1
final energy = -6.84 eV/atom

***

No. 3
VASP calculation (GGA+U) on a geometry-optimized LiVFeP2O8F2 structure.

Cell: 5.539 5.317 8.276 Å, 111.66 103.51 97.48°
Atoms (fractional coordinates):
Li1 0.443 0.049 0.284
V1 0.769 0.895 0.808
Fe1 0.124 0.989 0.540
P1 0.313 0.707 0.788
P2 0.850 0.311 0.236
O1 0.364 0.524 0.051
O2 0.702 0.945 0.596
O3 0.189 0.403 0.671
O4 0.825 0.201 0.019
O5 0.125 0.902 0.775
O6 0.960 0.625 0.320
O7 0.470 0.978 0.496
O8 0.339 0.751 0.020
F1 0.116 0.180 0.289
F2 0.762 0.547 0.795

Properties
spin magnetization = 6.0 μB per cell
excess energy over the best structure of this formula in the dataset = 795.9 meV/atom
space-group type = P1, No. 1
final energy = -6.05 eV/atom

***

No. 4
VASP calculation (GGA+U) on a geometry-optimized LiFePbF6 structure.

Cell: 5.273 5.273 10.502 Å, 90.00 90.00 120.00°
Atoms (fractional coordinates):
Li1 0.667 0.333 0.250
Li2 0.333 0.667 0.750
Fe1 0.333 0.667 0.250
Fe2 0.667 0.333 0.750
Pb1 0.000 0.000 0.000
Pb2 0.000 0.000 0.500
F1 0.621 0.644 0.148
F2 0.023 0.379 0.148
F3 0.379 0.023 0.648
F4 0.977 0.621 0.852
F5 0.356 0.379 0.352
F6 0.023 0.644 0.352
F7 0.644 0.023 0.852
F8 0.621 0.977 0.352
F9 0.977 0.356 0.648
F10 0.356 0.977 0.148
F11 0.644 0.621 0.648
F12 0.379 0.356 0.852

Properties
spin magnetization = 2.0 μB per cell
space-group type = P-31c, No. 163
final energy = -4.83 eV/atom

***

No. 5
VASP calculation (GGA+U) on a geometry-optimized Li2FePdF6 structure.

Cell: 5.322 5.310 5.710 Å, 63.01 62.42 59.58°
Atoms (fractional coordinates):
Li1 0.517 0.528 0.433
Li2 0.029 0.028 0.926
Fe1 0.317 0.317 0.049
Pd1 0.816 0.818 0.547
F1 0.596 0.241 0.255
F2 0.236 0.911 0.252
F3 0.910 0.588 0.257
F4 0.394 0.720 0.762
F5 0.723 0.120 0.771
F6 0.122 0.391 0.764

Properties
spin magnetization = 6.0 μB per cell
space-group type = P1, No. 1
final energy = -4.81 eV/atom

***

No. 6
VASP calculation (GGA+U) on a geometry-optimized LiFePdF6 structure.

Cell: 4.854 4.854 9.520 Å, 90.00 90.00 90.00°
Atoms (fractional coordinates):
Li1 0.500 0.500 0.168
Li2 0.000 0.000 0.668
Fe1 0.500 0.500 0.833
Fe2 0.000 0.000 0.333
Pd1 0.500 0.500 0.498
Pd2 0.000 0.000 0.998
F1 0.182 0.818 0.493
F2 0.818 0.182 0.493
F3 0.318 0.318 0.993
F4 0.682 0.682 0.993
F5 0.197 0.803 0.183
F6 0.803 0.197 0.183
F7 0.303 0.303 0.683
F8 0.697 0.697 0.683
F9 0.788 0.212 0.824
F10 0.212 0.788 0.824
F11 0.712 0.712 0.324
F12 0.288 0.288 0.324

Properties
spin magnetization = 14.0 μB per cell
space-group type = P4_2nm, No. 102
final energy = -4.78 eV/atom

***

No. 7
VASP calculation (GGA+U) on a geometry-optimized RbLiFeF4 structure.

Cell: 5.184 5.727 8.347 Å, 90.00 115.67 90.00°
Atoms (fractional coordinates):
Rb1 0.587 0.750 0.894
Rb2 0.413 0.250 0.106
Li1 0.898 0.750 0.527
Li2 0.102 0.250 0.473
Fe1 0.212 0.750 0.322
Fe2 0.788 0.250 0.678
F1 0.085 0.483 0.676
F2 0.915 0.983 0.324
F3 0.915 0.517 0.324
F4 0.085 0.017 0.676
F5 0.222 0.750 0.093
F6 0.778 0.250 0.907
F7 0.547 0.750 0.549
F8 0.453 0.250 0.451

Properties
spin magnetization = 8.0 μB per cell
space-group type = P2_1/m, No. 11
final energy = -4.88 eV/atom

***

No. 8
VASP calculation (GGA+U) on a geometry-optimized Rb2LiFeF6 structure.

Cell: 10.258 10.258 10.258 Å, 33.78 33.78 33.78°
Atoms (fractional coordinates):
Rb1 0.873 0.873 0.873
Rb2 0.127 0.127 0.127
Rb3 0.284 0.284 0.284
Rb4 0.716 0.716 0.716
Li1 0.404 0.404 0.404
Li2 0.596 0.596 0.596
Fe1 0.000 0.000 0.000
Fe2 0.500 0.500 0.500
F1 0.272 0.808 0.808
F2 0.808 0.808 0.272
F3 0.808 0.272 0.808
F4 0.192 0.728 0.192
F5 0.728 0.192 0.192
F6 0.192 0.192 0.728
F7 0.607 0.607 0.160
F8 0.160 0.607 0.607
F9 0.607 0.160 0.607
F10 0.393 0.840 0.393
F11 0.393 0.393 0.840
F12 0.840 0.393 0.393

Properties
spin magnetization = 6.0 μB per cell
space-group type = R-3m, No. 166
final energy = -4.67 eV/atom

***

No. 9
VASP calculation (GGA+U) on a geometry-optimized Rb3LiFe2F9 structure.

Cell: 5.932 5.932 7.224 Å, 90.00 90.00 120.00°
Atoms (fractional coordinates):
Rb1 0.333 0.667 0.655
Rb2 0.000 0.000 0.000
Rb3 0.667 0.333 0.345
Li1 0.000 0.000 0.500
Fe1 0.333 0.667 0.170
Fe2 0.667 0.333 0.830
F1 0.829 0.171 0.679
F2 0.829 0.657 0.679
F3 0.343 0.171 0.679
F4 0.657 0.829 0.321
F5 0.171 0.343 0.321
F6 0.171 0.829 0.321
F7 0.500 0.000 0.000
F8 0.000 0.500 0.000
F9 0.500 0.500 0.000

Properties
spin magnetization = 9.0 μB per cell
space-group type = P-3m1, No. 164
final energy = -4.87 eV/atom